1.
The following is a PBE calculation of a geometry-optimized Nd2Ga4Ni3Pt structure, from Alexandria.

total energy = -5.161 eV per atom
energy of formation = -0.659 eV per atom

abc: 4.120 4.120 10.392
angles: 90.00 90.00 90.00
Fractional positions:
Nd 0.000 0.500 0.241
Nd 0.500 0.000 0.759
Ga 0.000 0.000 0.000
Ga 0.000 0.500 0.638
Ga 0.500 0.000 0.362
Ga 0.500 0.500 0.000
Ni 0.000 0.500 0.871
Ni 0.500 0.000 0.129
Ni 0.500 0.500 0.500
Pt 0.000 0.000 0.500

2.
The following is a PBE calculation of a geometry-optimized DyAu3 structure, from Alexandria.

total energy = -4.279 eV per atom
energy of formation = -0.671 eV per atom

abc: 5.092 5.092 5.092
angles: 127.01 127.01 78.24
Fractional positions:
Dy 0.000 0.000 0.000
Au 0.250 0.750 0.500
Au 0.500 0.500 0.000
Au 0.750 0.250 0.500

3.
The following is a PBE calculation of a geometry-optimized ErScGePt structure, from Alexandria.

total energy = -6.320 eV per atom
energy of formation = -0.932 eV per atom
relative energy among the computed polymorphs = 0.127 eV per atom

abc: 4.851 4.851 4.851
angles: 60.00 60.00 60.00
Fractional positions:
Er 0.000 0.000 0.000
Sc 0.500 0.500 0.500
Ge 0.250 0.250 0.250
Pt 0.750 0.750 0.750

4.
The following is a PBE calculation of a geometry-optimized Ca2MgNiN structure, from Alexandria.

total energy = -4.239 eV per atom
energy relative to the elements, uncorrected = -0.298 eV/atom

abc: 5.153 5.153 3.678
angles: 90.00 90.00 90.00
Fractional positions:
Ca 0.000 0.500 0.000
Ca 0.500 0.000 0.000
Mg 0.000 0.000 0.500
Ni 0.500 0.500 0.500
N 0.500 0.500 0.000

5.
The following is a PBE calculation of a geometry-optimized BeCd3Te4 structure, from Alexandria.

total energy = -2.797 eV per atom
energy relative to the elements, uncorrected = -0.417 eV/atom

abc: 7.770 7.770 7.770
angles: 131.56 131.56 70.92
Fractional positions:
Be 0.000 0.000 0.000
Cd 0.250 0.750 0.500
Cd 0.500 0.500 0.000
Cd 0.750 0.250 0.500
Te 0.110 0.663 0.000
Te 0.337 0.337 0.447
Te 0.663 0.110 0.000
Te 0.890 0.890 0.553

6.
The following is a PBE calculation of a geometry-optimized NaCoPb2 structure, from Alexandria.

total energy = -3.792 eV per atom
energy of formation = 0.169 eV per atom

abc: 4.227 7.741 6.133
angles: 90.00 109.94 90.00
Fractional positions:
Na 0.056 0.250 0.112
Na 0.944 0.750 0.888
Co 0.217 0.750 0.432
Co 0.783 0.250 0.568
Pb 0.353 0.043 0.709
Pb 0.353 0.457 0.709
Pb 0.647 0.543 0.291
Pb 0.647 0.957 0.291

7.
The following is a PBE calculation of a geometry-optimized NdSm3Ho2Er6 structure, from Alexandria.

total energy = -4.603 eV per atom
energy of formation = 0.018 eV per atom

abc: 6.159 6.159 11.735
angles: 95.00 95.00 119.97
Fractional positions:
Nd 0.000 0.000 0.000
Sm 0.167 0.833 0.500
Sm 0.500 0.500 0.500
Sm 0.833 0.167 0.500
Ho 0.333 0.667 0.000
Ho 0.667 0.333 0.000
Er 0.083 0.417 0.249
Er 0.251 0.251 0.751
Er 0.417 0.083 0.249
Er 0.583 0.917 0.751
Er 0.749 0.749 0.249
Er 0.917 0.583 0.751

8.
The following is a PBE calculation of a geometry-optimized AlCuSnN2 structure, from Alexandria.

total energy = -4.239 eV per atom
energy relative to the elements, uncorrected = 1.460 eV/atom

abc: 3.880 3.880 5.372
angles: 90.00 90.00 90.00
Fractional positions:
Al 0.000 0.000 0.000
Cu 0.500 0.500 0.500
Sn 0.500 0.500 0.000
N 0.000 0.500 0.500
N 0.500 0.000 0.500

9.
The following is a PBE calculation of a geometry-optimized CdSnPb2 structure, from Alexandria.

total energy = -2.965 eV per atom
energy of formation = 0.119 eV per atom
relative energy among the computed polymorphs = 0.068 eV per atom

abc: 6.560 6.560 6.560
angles: 44.60 44.60 44.60
Fractional positions:
Cd 0.000 0.000 0.000
Sn 0.820 0.820 0.820
Pb 0.398 0.398 0.398
Pb 0.585 0.585 0.585

10.
The following is a PBE calculation of a geometry-optimized FeGe2Pt structure, from Alexandria.

total energy = -5.955 eV per atom
energy of formation = -0.020 eV per atom
relative energy among the computed polymorphs = 0.000 eV per atom

abc: 8.693 8.693 8.693
angles: 153.37 153.37 38.02
Fractional positions:
Fe 0.000 0.000 0.000
Fe 0.750 0.250 0.500
Ge 0.106 0.625 0.981
Ge 0.375 0.356 0.481
Ge 0.644 0.125 0.019
Ge 0.875 0.894 0.519
Pt 0.250 0.750 0.500
Pt 0.500 0.500 0.000

11.
The following is a PBE calculation of a geometry-optimized Ca5Si2Hg2 structure, from Alexandria.

total energy = -2.859 eV per atom
energy relative to the elements, uncorrected = -0.475 eV/atom

abc: 9.148 9.148 7.744
angles: 90.00 90.00 50.17
Fractional positions:
Ca 0.000 0.000 0.000
Ca 0.051 0.694 0.677
Ca 0.194 0.551 0.177
Ca 0.306 0.949 0.677
Ca 0.449 0.806 0.177
Ca 0.500 0.500 0.500
Ca 0.551 0.194 0.823
Ca 0.694 0.051 0.323
Ca 0.806 0.449 0.823
Ca 0.949 0.306 0.323
Si 0.111 0.889 0.388
Si 0.389 0.611 0.888
Si 0.611 0.389 0.112
Si 0.889 0.111 0.612
Hg 0.212 0.212 0.000
Hg 0.288 0.288 0.500
Hg 0.712 0.712 0.500
Hg 0.788 0.788 0.000

12.
The following is a PBE calculation of a geometry-optimized YPaCoRu structure, from Alexandria.

total energy = -8.310 eV per atom
energy of formation = -0.225 eV per atom

abc: 4.788 4.788 4.788
angles: 60.00 60.00 60.00
Fractional positions:
Y 0.000 0.000 0.000
Pa 0.500 0.500 0.500
Co 0.750 0.750 0.750
Ru 0.250 0.250 0.250

13.
The following is a PBE calculation of a geometry-optimized Rb2ScBr7 structure, from Alexandria.

total energy = -3.285 eV per atom
energy relative to the elements, uncorrected = -1.287 eV/atom

abc: 8.128 8.128 8.128
angles: 115.41 115.41 98.15
Fractional positions:
Rb 0.250 0.750 0.500
Rb 0.750 0.250 0.500
Sc 0.000 0.000 0.000
Br 0.212 0.212 0.424
Br 0.212 0.788 0.000
Br 0.263 0.263 0.000
Br 0.500 0.500 0.000
Br 0.737 0.737 0.000
Br 0.788 0.212 0.000
Br 0.788 0.788 0.576

14.
The following is a PBE calculation of a geometry-optimized SrErMg structure, from Alexandria.

total energy = -2.540 eV per atom
energy of formation = 0.073 eV per atom
relative energy among the computed polymorphs = 0.000 eV per atom

abc: 7.451 7.451 7.451
angles: 150.03 150.03 42.90
Fractional positions:
Sr 0.000 0.000 0.000
Er 0.296 0.296 0.000
Mg 0.669 0.669 0.000

15.
The following is a PBE calculation of a geometry-optimized InMoOs2 structure, from Alexandria.

total energy = -8.629 eV per atom
energy of formation = 0.379 eV per atom

abc: 9.351 9.351 9.351
angles: 17.51 17.51 17.51
Fractional positions:
In 0.000 0.000 0.000
Mo 0.243 0.243 0.243
Os 0.497 0.497 0.497
Os 0.754 0.754 0.754

16.
The following is a PBE calculation of a geometry-optimized Pr8AlSi3Br4 structure, from Alexandria.

total energy = -5.039 eV per atom
energy relative to the elements, uncorrected = -0.981 eV/atom

abc: 8.899 8.899 8.899
angles: 58.29 58.29 58.29
Fractional positions:
Pr 0.234 0.742 0.742
Pr 0.237 0.237 0.237
Pr 0.258 0.258 0.766
Pr 0.258 0.766 0.258
Pr 0.742 0.234 0.742
Pr 0.742 0.742 0.234
Pr 0.763 0.763 0.763
Pr 0.766 0.258 0.258
Al 0.500 0.500 0.500
Si 0.000 0.000 0.500
Si 0.000 0.500 0.000
Si 0.500 0.000 0.000
Br 0.000 0.000 0.000
Br 0.000 0.500 0.500
Br 0.500 0.000 0.500
Br 0.500 0.500 0.000

17.
The following is a PBE calculation of a geometry-optimized Ce4Ga16Tc3 structure, from Alexandria.

total energy = -4.941 eV per atom
energy of formation = -0.452 eV per atom

abc: 6.206 6.206 11.442
angles: 90.00 90.00 90.00
Fractional positions:
Ce 0.000 0.500 0.192
Ce 0.000 0.500 0.808
Ce 0.500 0.000 0.192
Ce 0.500 0.000 0.808
Ga 0.000 0.000 0.194
Ga 0.000 0.000 0.806
Ga 0.213 0.213 0.000
Ga 0.213 0.787 0.000
Ga 0.248 0.248 0.381
Ga 0.248 0.248 0.619
Ga 0.248 0.752 0.381
Ga 0.248 0.752 0.619
Ga 0.500 0.500 0.221
Ga 0.500 0.500 0.779
Ga 0.752 0.248 0.381
Ga 0.752 0.248 0.619
Ga 0.752 0.752 0.381
Ga 0.752 0.752 0.619
Ga 0.787 0.213 0.000
Ga 0.787 0.787 0.000
Tc 0.000 0.500 0.500
Tc 0.500 0.000 0.500
Tc 0.500 0.500 0.000

18.
The following is a PBE calculation of a geometry-optimized FeAgBr2 structure, from Alexandria.

total energy = -3.457 eV per atom
energy relative to the elements, uncorrected = 0.208 eV/atom
relative energy among the computed polymorphs = 0.235 eV per atom

abc: 9.944 9.944 9.944
angles: 20.01 20.01 20.01
Fractional positions:
Fe 0.000 0.000 0.000
Ag 0.500 0.500 0.500
Br 0.287 0.287 0.287
Br 0.713 0.713 0.713

19.
The following is a PBE calculation of a geometry-optimized SmPt2Au8 structure, from Alexandria.

total energy = -4.082 eV per atom
energy of formation = -0.171 eV per atom

abc: 7.314 7.314 4.240
angles: 90.00 90.00 107.79
Fractional positions:
Sm 0.000 0.000 0.000
Pt 0.387 0.613 0.500
Pt 0.613 0.387 0.500
Au 0.037 0.313 0.500
Au 0.248 0.752 0.000
Au 0.313 0.037 0.500
Au 0.334 0.334 0.000
Au 0.666 0.666 0.000
Au 0.687 0.963 0.500
Au 0.752 0.248 0.000
Au 0.963 0.687 0.500

20.
The following is a PBE calculation of a geometry-optimized BaGa12Cu6 structure, from Alexandria.

total energy = -3.423 eV per atom
energy of formation = -0.116 eV per atom

abc: 7.221 7.221 7.221
angles: 104.47 104.47 104.47
Fractional positions:
Ba 0.000 0.000 0.000
Ga 0.116 0.500 0.884
Ga 0.116 0.884 0.500
Ga 0.157 0.414 0.414
Ga 0.414 0.157 0.414
Ga 0.414 0.414 0.157
Ga 0.500 0.116 0.884
Ga 0.500 0.884 0.116
Ga 0.586 0.586 0.843
Ga 0.586 0.843 0.586
Ga 0.843 0.586 0.586
Ga 0.884 0.116 0.500
Ga 0.884 0.500 0.116
Cu 0.275 0.275 0.709
Cu 0.275 0.709 0.275
Cu 0.291 0.725 0.725
Cu 0.709 0.275 0.275
Cu 0.725 0.291 0.725
Cu 0.725 0.725 0.291

21.
The following is a PBE calculation of a geometry-optimized TiAlFe2 structure, from Alexandria.

total energy = -7.533 eV per atom
energy of formation = -0.392 eV per atom

abc: 2.930 2.930 5.772
angles: 90.00 90.00 90.00
Fractional positions:
Ti 0.000 0.000 0.000
Al 0.000 0.000 0.500
Fe 0.500 0.500 0.252
Fe 0.500 0.500 0.748

22.
The following is a PBE calculation of a geometry-optimized VIrCl3 structure, from Alexandria.

total energy = -4.251 eV per atom
energy relative to the elements, uncorrected = 0.453 eV/atom
relative energy among the computed polymorphs = 0.000 eV per atom

abc: 4.822 4.822 4.822
angles: 90.00 90.00 90.00
Fractional positions:
V 0.000 0.000 0.000
Ir 0.500 0.500 0.500
Cl 0.000 0.500 0.500
Cl 0.500 0.000 0.500
Cl 0.500 0.500 0.000

23.
The following is a PBE calculation of a geometry-optimized Tb3PrHo structure, from Alexandria.

total energy = -4.632 eV per atom
energy of formation = 0.018 eV per atom
relative energy among the computed polymorphs = 0.000 eV per atom

abc: 6.299 5.737 9.628
angles: 90.00 109.01 90.00
Fractional positions:
Tb 0.135 0.250 0.098
Tb 0.268 0.750 0.702
Tb 0.335 0.250 0.500
Tb 0.665 0.750 0.500
Tb 0.732 0.250 0.298
Tb 0.865 0.750 0.902
Pr 0.068 0.750 0.299
Pr 0.932 0.250 0.701
Ho 0.466 0.750 0.098
Ho 0.534 0.250 0.902

24.
The following is a PBE calculation of a geometry-optimized YAgPt2 structure, from Alexandria.

total energy = -6.140 eV per atom
energy of formation = -0.791 eV per atom

abc: 4.252 4.252 4.054
angles: 90.00 90.00 90.00
Fractional positions:
Y 0.000 0.000 0.000
Ag 0.500 0.500 0.000
Pt 0.000 0.500 0.500
Pt 0.500 0.000 0.500